{
  "formula": "CdPdSO",
  "functional": "PBE",
  "state": "relaxed",
  "energy_ev_per_atom": -3.97,
  "spacegroup": "Cmcm",
  "crystal_system": "orthorhombic",
  "lattice_angstrom": [[6.925, -1.670, 0.000], [6.925, 1.670, 0.000], [0.000, 0.000, 5.385]],
  "species": ["O", "Pd", "S", "O", "Pd", "Cd", "S", "Cd"],
  "frac_coords": [[0.000, 0.000, 0.500], [0.417, 0.417, 0.250], [0.197, 0.197, 0.750], [0.000, 0.000, 0.000], [0.583, 0.583, 0.750], [0.133, 0.133, 0.250], [0.803, 0.803, 0.250], [0.867, 0.867, 0.750]]
}

=====

{
  "formula": "CdPdSeO",
  "functional": "PBE",
  "state": "relaxed",
  "energy_ev_per_atom": -3.80,
  "spacegroup": "P4/nmm",
  "crystal_system": "tetragonal",
  "lattice_angstrom": [[-3.696, 0.078, -0.155], [-0.044, -3.618, -0.770], [-0.453, -2.069, 9.742]],
  "species": ["Cd", "Pd", "Se", "Pd", "Cd", "O", "O", "Se"],
  "frac_coords": [[0.250, 0.250, 0.871], [0.750, 0.750, 0.698], [0.750, 0.250, 0.500], [0.250, 0.250, 0.302], [0.750, 0.750, 0.129], [0.750, 0.750, 0.908], [0.250, 0.250, 0.092], [0.250, 0.750, 0.500]]
}

=====

{
  "formula": "CdPdSeO",
  "functional": "PBE",
  "state": "relaxed",
  "energy_ev_per_atom": -4.12,
  "spacegroup": "P2_12_12_1",
  "crystal_system": "orthorhombic",
  "lattice_angstrom": [[-6.084, 1.006, 1.533], [1.698, -0.660, 7.173], [1.132, 6.363, 0.318]],
  "species": ["O", "Cd", "O", "Cd", "O", "Cd", "Se", "Pd", "Se", "Se", "Pd", "Cd", "Pd", "Pd", "Se", "O"],
  "frac_coords": [[0.124, 0.368, 0.898], [0.783, 0.372, 0.947], [0.376, 0.632, 0.398], [0.217, 0.872, 0.553], [0.876, 0.868, 0.602], [0.283, 0.128, 0.053], [0.487, 0.133, 0.607], [0.246, 0.509, 0.145], [0.513, 0.633, 0.893], [0.013, 0.867, 0.107], [0.754, 0.009, 0.355], [0.717, 0.628, 0.447], [0.254, 0.491, 0.645], [0.746, 0.991, 0.855], [0.987, 0.367, 0.393], [0.624, 0.132, 0.102]]
}

=====

{
  "formula": "CdPdSeO",
  "functional": "PBE",
  "state": "relaxed",
  "energy_ev_per_atom": -4.13,
  "spacegroup": "P2_12_12_1",
  "crystal_system": "orthorhombic",
  "lattice_angstrom": [[6.237, 0.000, 0.000], [0.000, 5.827, 0.000], [0.000, 0.000, 8.500]],
  "species": ["O", "Se", "Pd", "O", "Pd", "Pd", "Se", "Cd", "Se", "O", "O", "Cd", "Cd", "Pd", "Cd", "Se"],
  "frac_coords": [[0.481, 0.628, 0.368], [0.523, 0.526, 0.867], [0.767, 0.241, 0.994], [0.519, 0.128, 0.132], [0.733, 0.759, 0.494], [0.233, 0.741, 0.506], [0.023, 0.974, 0.133], [0.075, 0.250, 0.624], [0.977, 0.474, 0.367], [0.019, 0.372, 0.868], [0.981, 0.872, 0.632], [0.425, 0.750, 0.124], [0.575, 0.250, 0.376], [0.267, 0.259, 0.006], [0.925, 0.750, 0.876], [0.477, 0.026, 0.633]]
}

=====

{
  "formula": "CdPdSeO",
  "functional": "PBE",
  "state": "relaxed",
  "energy_ev_per_atom": -4.01,
  "spacegroup": "Pca2_1",
  "crystal_system": "orthorhombic",
  "lattice_angstrom": [[-1.384, -4.370, -3.413], [5.927, 2.422, -5.504], [3.916, -3.375, 2.732]],
  "species": ["O", "O", "Se", "Cd", "Cd", "Se", "Pd", "Pd", "Cd", "Cd", "O", "Pd", "Se", "O", "Pd", "Se"],
  "frac_coords": [[0.902, 0.964, 0.812], [0.098, 0.036, 0.312], [0.049, 0.383, 0.312], [0.750, 0.160, 0.564], [0.750, 0.160, 0.064], [0.549, 0.617, 0.312], [0.250, 0.198, 0.062], [0.750, 0.802, 0.562], [0.250, 0.840, 0.064], [0.250, 0.840, 0.564], [0.402, 0.036, 0.812], [0.750, 0.802, 0.062], [0.451, 0.383, 0.812], [0.598, 0.964, 0.312], [0.250, 0.198, 0.562], [0.951, 0.617, 0.812]]
}

=====

{
  "formula": "CdPdSeO",
  "functional": "PBE",
  "state": "relaxed",
  "energy_ev_per_atom": -3.85,
  "spacegroup": "P4/nmm",
  "crystal_system": "tetragonal",
  "lattice_angstrom": [[3.635, 0.000, 0.000], [0.000, 3.635, 0.000], [0.000, 0.000, 11.232]],
  "species": ["Cd", "O", "Se", "Pd", "Pd", "O", "Cd", "Se"],
  "frac_coords": [[0.750, 0.750, 0.399], [0.750, 0.750, 0.598], [0.250, 0.250, 0.160], [0.250, 0.750, 0.000], [0.750, 0.250, 0.000], [0.250, 0.250, 0.402], [0.250, 0.250, 0.601], [0.750, 0.750, 0.840]]
}

=====

{
  "formula": "CdPdSeO",
  "functional": "PBE",
  "state": "relaxed",
  "energy_ev_per_atom": -4.14,
  "spacegroup": "Pca2_1",
  "crystal_system": "orthorhombic",
  "lattice_angstrom": [[4.679, 0.000, 0.000], [0.000, 7.570, 0.000], [0.000, 0.000, 8.721]],
  "species": ["Se", "Cd", "O", "O", "Se", "O", "Cd", "Se", "Se", "Cd", "Pd", "Cd", "Pd", "O", "Pd", "Pd"],
  "frac_coords": [[0.934, 0.076, 0.631], [0.940, 0.894, 0.904], [0.440, 0.406, 0.105], [0.940, 0.094, 0.105], [0.434, 0.924, 0.369], [0.440, 0.906, 0.895], [0.440, 0.106, 0.096], [0.434, 0.424, 0.631], [0.934, 0.576, 0.369], [0.940, 0.394, 0.096], [0.436, 0.130, 0.734], [0.440, 0.606, 0.904], [0.936, 0.870, 0.266], [0.940, 0.594, 0.895], [0.436, 0.630, 0.266], [0.936, 0.370, 0.734]]
}

=====

{
  "formula": "CdPdSeO",
  "functional": "PBE",
  "state": "relaxed",
  "energy_ev_per_atom": -4.08,
  "spacegroup": "Pbca",
  "crystal_system": "orthorhombic",
  "lattice_angstrom": [[-4.379, 1.014, -4.870], [4.677, -10.301, -6.351], [-4.400, -3.932, 3.137]],
  "species": ["Cd", "Se", "Pd", "Cd", "Pd", "Se", "Pd", "Se", "Se", "Pd", "Cd", "O", "Se", "O", "O", "Se", "Cd", "O", "Cd", "Cd", "Cd", "O", "Pd", "O", "O", "Pd", "Se", "Se", "Pd", "O", "Pd", "Cd"],
  "frac_coords": [[0.485, 0.231, 0.782], [0.001, 0.021, 0.252], [0.759, 0.431, 0.465], [0.515, 0.731, 0.718], [0.259, 0.431, 0.035], [0.999, 0.979, 0.748], [0.741, 0.931, 0.465], [0.001, 0.479, 0.752], [0.501, 0.479, 0.748], [0.741, 0.569, 0.965], [0.515, 0.769, 0.218], [0.790, 0.741, 0.051], [0.999, 0.521, 0.248], [0.710, 0.241, 0.051], [0.210, 0.241, 0.449], [0.499, 0.521, 0.252], [0.015, 0.769, 0.282], [0.290, 0.741, 0.449], [0.985, 0.231, 0.718], [0.985, 0.269, 0.218], [0.015, 0.731, 0.782], [0.210, 0.259, 0.949], [0.759, 0.069, 0.965], [0.710, 0.259, 0.551], [0.790, 0.759, 0.551], [0.259, 0.069, 0.535], [0.501, 0.021, 0.248], [0.499, 0.979, 0.752], [0.241, 0.569, 0.535], [0.290, 0.759, 0.949], [0.241, 0.931, 0.035], [0.485, 0.269, 0.282]]
}